Compound: MgFeN2F
Source: Alexandria
Functional: GGA-PBEsol
Structure: optimized geometry

Cell: 3.5616 3.5616 4.0527 Å, 90.00 90.00 90.00°
With the nearest neighbours (Å) after each atom.
Space group P4/mmm (No. 123)
Unique sites:
Mg 0.0000 0.0000 0.0000  4 F 2.52, 8 N 2.70
Fe 0.5000 0.5000 0.5000  4 N 1.78
N 0.0000 0.5000 0.5000  2 Fe 1.78
F 0.5000 0.5000 0.0000  2 Fe 2.03

Summary:
Energy relative to the elements, uncorrected = -0.349 eV per atom
Raw total energy = -31.41 eV/cell
Total magnetic moment = 0.74 Bohr magnetons per cell

***

Compound: Y3RuI3
Source: Alexandria
Functional: GGA-PBEsol
Structure: optimized geometry

Cell: 8.6425 4.1480 11.9628 Å, 90.00 94.48 90.00°
With the nearest neighbours (Å) after each atom.
Space group P2_1/m (No. 11)
Unique sites:
Y 0.1003 0.2500 0.3210  1 Ru 2.73
Y 0.1367 0.2500 0.8722  3 Ru 2.69-2.79
Y 0.2631 0.7500 0.1051  2 Ru 2.76
Ru 0.0523 0.2500 0.0928  6 Y 2.69-2.79
I 0.1478 0.2500 0.6044  4 Y 3.16-3.38
I 0.3606 0.7500 0.3688  3 Y 3.08-3.20
I 0.4298 0.7500 0.8640  5 Y 3.28-3.37

Summary:
Energy relative to the elements, uncorrected = -1.000 eV per atom
Raw total energy = -85.87 eV/cell
Total magnetic moment = 0.00 Bohr magnetons per cell

***

Compound: Cd2SnGeAs4
Source: Alexandria
Functional: GGA-PBEsol
Structure: optimized geometry

Cell: 6.0191 6.0191 11.6623 Å, 90.00 90.00 90.00°
With the nearest neighbours (Å) after each atom.
Space group I-4 (No. 82)
Unique sites:
Cd 0.0000 0.0000 0.0000  4 As 2.62
Cd 0.0000 0.5000 0.2500  4 As 2.64
Sn 0.0000 0.0000 0.5000  4 As 2.62
Ge 0.0000 0.5000 0.7500  4 As 2.45
As 0.2363 0.2635 0.8695  1 Ge 2.45, 2 Cd 2.62-2.64, 1 Sn 2.62

Summary:
Raw total energy = -65.09 eV/cell
Total magnetic moment = 0.00 Bohr magnetons per cell

***

Compound: KCa2MgBi
Source: Alexandria
Functional: GGA-PBEsol
Structure: optimized geometry

Cell: 6.0514 6.0514 5.6303 Å, 90.00 90.00 90.00°
With the nearest neighbours (Å) after each atom.
Space group P4/mmm (No. 123)
Unique sites:
K 0.0000 0.0000 0.0000  8 Ca 4.13, 4 Bi 4.28
Ca 0.0000 0.5000 0.5000  2 Mg 3.03
Mg 0.5000 0.5000 0.5000  2 Bi 2.82, 4 Ca 3.03
Bi 0.5000 0.5000 0.0000  2 Mg 2.82

Summary:
Raw total energy = -10.95 eV/cell
Total magnetic moment = 0.00 Bohr magnetons per cell

***

Compound: SbH5Cl6O2
Source: Alexandria
Functional: GGA-PBEsol
Structure: optimized geometry

Cell: 11.7322 7.2654 13.3910 Å, 90.00 114.41 90.00°
With the nearest neighbours (Å) after each atom.
Space group C2/c (No. 15)
Unique sites:
Sb 0.2500 0.2500 0.0000  6 Cl 2.36-2.41
H 0.0000 0.1835 0.2500  2 O 1.20
H 0.0538 0.1463 0.4028  1 O 0.99
H 0.0798 0.2569 0.1585  1 O 0.99
Cl 0.0340 0.3126 0.9050  1 Sb 2.36
Cl 0.2013 0.0494 0.5502  1 H 2.14
Cl 0.2467 0.3794 0.1645  1 H 2.12
O 0.0175 0.1745 0.1681  2 H 0.99

Summary:
Raw total energy = -222.37 eV/cell
Total magnetic moment = 0.00 Bohr magnetons per cell

***

Compound: TiBiSe2
Source: Alexandria
Functional: GGA-PBEsol
Structure: optimized geometry

Cell: 3.4854 3.4854 26.9071 Å, 90.00 90.00 120.00°
With the nearest neighbours (Å) after each atom.
Space group R-3m (No. 166, hexagonal axes)
Unique sites:
Ti 0.0000 0.0000 0.0000  6 Se 2.54
Bi 0.0000 0.0000 0.5000  2 Se 2.94
Se 0.0000 0.0000 0.3908  3 Ti 2.54

Summary:
Energy relative to the elements, uncorrected = -0.819 eV per atom
Raw total energy = -70.75 eV/cell
Total magnetic moment = 0.00 Bohr magnetons per cell